1.
Tb5Nd2Sm3 | GGA-PBE | relaxed

a b c (Å): 6.8683 11.5680 12.1915
angles (deg): 46.69 72.54 75.24
Atoms (fractional coordinates):
Sm (0.8865, 0.9268, 0.4283)
Nd (0.5941, 0.9958, 0.6738)
Tb (0.5387, 0.3054, 0.2564)
Sm (0.2718, 0.9039, 0.1482)
Tb (0.2275, 0.2061, 0.7536)
Sm (0.7282, 0.0961, 0.8518)
Tb (0.0498, 0.3659, 0.1862)
Tb (0.4613, 0.6946, 0.7436)
Tb (0.6776, 0.3856, 0.4603)
Sm (0.6270, 0.6789, 0.0725)
Sm (0.3730, 0.3211, 0.9275)
Tb (0.7725, 0.7939, 0.2464)
Tb (0.8228, 0.5041, 0.6361)
Tb (0.3224, 0.6144, 0.5397)
Nd (0.8642, 0.2180, 0.0333)
Tb (0.9502, 0.6341, 0.8138)
Nd (0.1358, 0.7820, 0.9667)
Sm (0.1135, 0.0732, 0.5717)
Tb (0.1772, 0.4959, 0.3639)
Nd (0.4059, 0.0042, 0.3262)

Results
ρ (g cm⁻³): 7.60
Excess energy over the best structure of this formula in the dataset (meV per atom): 0.0
Energy of formation (eV per atom): 0.059
SG: P-1, No. 2
N(E_F) (states/eV/cell): 32.6

2.
Tb8NdSm2 | GGA-PBE | relaxed

a b c (Å): 5.5619 8.1794 9.4115
angles (deg): 115.75 107.19 90.00
Atoms (fractional coordinates):
Tb (0.0000, 0.2947, 0.0000)
Sm (0.7999, 0.2999, 0.5998)
Tb (0.3616, 0.5680, 0.7233)
Nd (0.5000, 0.0000, 0.0000)
Sm (0.2001, 0.7001, 0.4002)
Tb (0.8385, 0.8385, 0.6770)
Tb (0.6384, 0.8448, 0.2768)
Tb (0.6384, 0.4320, 0.2767)
Tb (0.3616, 0.1552, 0.7232)
Tb (0.1615, 0.1615, 0.3230)
Tb (0.0000, 0.7053, 0.0000)

Results
ρ (g cm⁻³): 7.82
Excess energy over the best structure of this formula in the dataset (meV per atom): 0.0
Energy of formation (eV per atom): 0.112
SG: Immm, No. 71
N(E_F) (states/eV/cell): 15.0